1.
# La2ZnAg2

An optimized crystal structure of La2ZnAg2 (GGA-PBE, Alexandria).

POSCAR file:
```
La2ZnAg2
1.0
5.506 -2.319 0.000
5.506 2.319 0.000
-4.912 0.000 10.160
La Zn Ag
4 2 4
Direct
0.023 0.023 0.345 La
0.193 0.193 0.113 La
0.807 0.807 0.887 La
0.977 0.977 0.655 La
0.274 0.274 0.656 Zn
0.726 0.726 0.344 Zn
0.354 0.354 0.434 Ag
0.485 0.485 0.119 Ag
0.515 0.515 0.881 Ag
0.646 0.646 0.566 Ag
```

Computed properties:
The value obtained for the size of the total moment is 0.00 μB per atom. The calculation puts the density of states at the Fermi level at 10.8 states/eV/cell. Its total energy is -18.2 eV/f.u.

=====

2.
# LaZn3Ag

An optimized crystal structure of LaZn3Ag (GGA-PBE, Alexandria).

POSCAR file:
```
LaZn3Ag
1.0
4.870 0.000 0.000
0.000 4.870 0.000
0.000 0.000 4.870
La Zn Ag
1 3 1
Direct
0.000 0.000 0.000 La
0.000 0.500 0.500 Zn
0.500 0.000 0.500 Zn
0.500 0.500 0.000 Zn
0.500 0.500 0.500 Ag
```

Computed properties:
The value obtained for the size of the total moment is 0.00 μB per atom. The calculation puts the density of states at the Fermi level at 1.0 states/eV/cell. Its total energy is -11.7 eV/f.u.

=====

3.
# LaZn2Ag

An optimized crystal structure of LaZn2Ag (GGA-PBE, Alexandria).

POSCAR file:
```
LaZn2Ag
1.0
4.424 0.000 0.000
0.000 4.424 0.000
0.000 0.000 4.705
La Zn Ag
1 2 1
Direct
0.000 0.000 0.000 La
0.000 0.500 0.500 Zn
0.500 0.000 0.500 Zn
0.500 0.500 0.000 Ag
```

Computed properties:
The value obtained for the size of the total moment is 0.00 μB per atom. The calculation puts the density of states at the Fermi level at 3.0 states/eV/cell. Its total energy is -10.7 eV/f.u.

=====

4.
# LaZn3Ag10

An optimized crystal structure of LaZn3Ag10 (GGA-PBE, Alexandria).

POSCAR file:
```
LaZn3Ag10
1.0
0.000 6.547 6.547
6.547 0.000 6.547
6.547 6.547 0.000
La Zn Ag
2 6 20
Direct
0.250 0.250 0.250 La
0.750 0.750 0.750 La
0.235 0.235 0.765 Zn
0.235 0.765 0.235 Zn
0.235 0.765 0.765 Zn
0.765 0.235 0.235 Zn
0.765 0.235 0.765 Zn
0.765 0.765 0.235 Zn
0.114 0.114 0.114 Ag
0.114 0.114 0.657 Ag
0.114 0.657 0.114 Ag
0.152 0.500 0.500 Ag
0.152 0.500 0.848 Ag
0.152 0.848 0.500 Ag
0.343 0.886 0.886 Ag
0.500 0.152 0.500 Ag
0.500 0.152 0.848 Ag
0.500 0.500 0.152 Ag
0.500 0.500 0.848 Ag
0.500 0.848 0.152 Ag
0.500 0.848 0.500 Ag
0.657 0.114 0.114 Ag
0.848 0.152 0.500 Ag
0.848 0.500 0.152 Ag
0.848 0.500 0.500 Ag
0.886 0.343 0.886 Ag
0.886 0.886 0.343 Ag
0.886 0.886 0.886 Ag
```

Computed properties:
The value obtained for the size of the total moment is 0.00 μB per atom. The calculation puts the density of states at the Fermi level at 14.9 states/eV/cell. Its total energy is -36.5 eV/f.u.

=====

5.
# LaZnAg2

An optimized crystal structure of LaZnAg2 (GGA-PBE, Alexandria).

POSCAR file:
```
LaZnAg2
1.0
4.796 0.000 0.000
0.000 4.796 0.000
0.000 0.000 18.236
La Zn Ag
4 4 8
Direct
0.000 0.000 0.000 La
0.000 0.500 0.250 La
0.500 0.000 0.750 La
0.500 0.500 0.500 La
0.000 0.000 0.500 Zn
0.000 0.500 0.750 Zn
0.500 0.000 0.250 Zn
0.500 0.500 0.000 Zn
0.130 0.250 0.625 Ag
0.250 0.630 0.875 Ag
0.250 0.870 0.375 Ag
0.370 0.250 0.125 Ag
0.630 0.750 0.125 Ag
0.750 0.130 0.375 Ag
0.750 0.370 0.875 Ag
0.870 0.750 0.625 Ag
```

Computed properties:
The value obtained for the size of the total moment is 0.00 μB per atom. The calculation puts the density of states at the Fermi level at 14.6 states/eV/cell. Its total energy is -11.7 eV/f.u.

=====

6.
# La2Zn2Ag

An optimized crystal structure of La2Zn2Ag (GGA-PBE, Alexandria).

POSCAR file:
```
La2Zn2Ag
1.0
5.293 -2.383 0.000
5.293 2.383 0.000
-4.846 0.000 10.013
La Zn Ag
4 4 2
Direct
0.021 0.021 0.336 La
0.198 0.198 0.109 La
0.802 0.802 0.891 La
0.979 0.979 0.664 La
0.362 0.362 0.436 Zn
0.492 0.492 0.111 Zn
0.508 0.508 0.889 Zn
0.638 0.638 0.564 Zn
0.272 0.272 0.654 Ag
0.728 0.728 0.346 Ag
```

Computed properties:
The value obtained for the size of the total moment is 0.00 μB per atom. The calculation puts the density of states at the Fermi level at 9.0 states/eV/cell. Its total energy is -16.7 eV/f.u.

=====

Computed energy of formation, in the same sequence as the records: -27; -1; -9; 5; 5; -29 kJ/mol of atoms.